# NpScTc | Alexandria | PBE | optimized geometry
data_NpScTc
_chemical_formula_sum 'Np2 Sc2 Tc2'
_space_group_name_H-M_alt 'I 4 m m'
_space_group_IT_number 107
_space_group_name_Hall 'I 4 -2'
_cell_length_a 3.252
_cell_length_b 3.252
_cell_length_c 11.615
_cell_angle_alpha 90.00
_cell_angle_beta 90.00
_cell_angle_gamma 90.00
loop_
_atom_site_label
_atom_site_type_symbol
_atom_site_fract_x
_atom_site_fract_y
_atom_site_fract_z
Np1 Np 0.000 0.000 0.000
Sc1 Sc 0.000 0.000 0.285
Tc1 Tc 0.000 0.000 0.639
# formation enthalpy at 0 K	0.26	eV/f.u.
# V	122.9	Å³ per cell
# VASP energy	-0.7198	Ry per atom
# density	10.27	g cm⁻³
# relative energy among the computed polymorphs	0	meV per atom